First-principles (PBE) data for a geometry-optimized LiInPb4 structure, as listed in the Alexandria database.

Properties
The calculated total energy comes out at -3.248 eV per atom. As for the space-group type: C2/m, No. 12. The density of states at the Fermi level comes out at 2.05 states/eV/cell. The value obtained for the energy of formation from the pure elements is 0.00 eV per atom. The value obtained for the energy above the most stable polymorph in this dataset is 0.081 eV per formula unit. The calculation puts the magnetic moment at 0.0 μB per cell.

Cell lengths 5.0700, 5.0863, 8.6684 Å; angles 72.10, 73.00, 60.11 degrees
Atoms (fractional coordinates):
Pb (0.3641, 0.3708, 0.9010)
In (0.5000, 0.5000, 0.5000)
Pb (0.1237, 0.1132, 0.6394)
Pb (0.8763, 0.8868, 0.3606)
Pb (0.6359, 0.6292, 0.0990)
Li (0.0000, 0.0000, 0.0000)

=====

First-principles (PBE) data for a geometry-optimized K2TlCu2I6 structure, as listed in the Alexandria database.

Properties
The calculated total energy comes out at -2.680 eV per atom. As for the space-group type: C2/m, No. 12. The raw formation energy is -0.6750 eV/atom. The density of states at the Fermi level comes out at 4.45 states/eV/cell. The calculation puts the magnetic moment at 0.0 μB per cell.

Cell lengths 8.0927, 7.4948, 10.2482 Å; angles 106.99, 90.00, 122.68 degrees
Atoms (fractional coordinates):
Cu (0.9639, 0.9278, 0.7117)
I (0.8087, 0.1382, 0.8176)
I (0.1913, 0.8618, 0.1824)
K (0.6850, 0.3701, 0.1497)
I (0.6705, 0.8618, 0.1824)
I (0.3295, 0.1382, 0.8176)
Cu (0.0361, 0.0722, 0.2883)
Tl (0.5000, 0.0000, 0.5000)
I (0.2199, 0.4397, 0.4823)
K (0.3150, 0.6299, 0.8503)
I (0.7801, 0.5603, 0.5177)

=====

First-principles (PBE) data for a geometry-optimized Pm2DyEr2 structure, as listed in the Alexandria database.

Properties
The calculated total energy comes out at -4.625 eV per atom. As for the space-group type: C2/m, No. 12. The density of states at the Fermi level comes out at 6.44 states/eV/cell. The value obtained for the energy of formation from the pure elements is 0.02 eV per atom. The value obtained for the energy above the most stable polymorph in this dataset is 0.000 eV per formula unit. The calculation puts the magnetic moment at 0.0 μB per cell.

Cell lengths 3.5750, 3.5743, 14.9678 Å; angles 96.84, 83.14, 59.99 degrees
Atoms (fractional coordinates):
Er (0.6378, 0.0285, 0.6959)
Pm (0.7720, 0.5604, 0.8957)
Pm (0.2280, 0.4396, 0.1043)
Dy (0.5000, 0.5000, 0.5000)
Er (0.3622, 0.9715, 0.3041)

=====

First-principles (PBE) data for a geometry-optimized Rb3AgI2O8 structure, as listed in the Alexandria database.

Properties
The calculated total energy comes out at -4.192 eV per atom. As for the space-group type: P-3m1, No. 164. The raw formation energy is -0.7259 eV/atom. The density of states at the Fermi level comes out at 2.97 states/eV/cell. The calculation puts the magnetic moment at 0.0 μB per cell.

Cell lengths 6.3247, 6.3247, 8.1616 Å; angles 90.00, 90.00, 120.00 degrees
Atoms (fractional coordinates):
Rb (0.3333, 0.6667, 0.6593)
O (0.3462, 0.1731, 0.6846)
O (0.8269, 0.1731, 0.6846)
I (0.3333, 0.6667, 0.2245)
O (0.1731, 0.8269, 0.3154)
I (0.6667, 0.3333, 0.7755)
Ag (0.0000, 0.0000, 0.5000)
O (0.1731, 0.3462, 0.3154)
O (0.6538, 0.8269, 0.3154)
Rb (0.0000, 0.0000, 0.0000)
O (0.8269, 0.6538, 0.6846)
O (0.6667, 0.3333, 0.0045)
Rb (0.6667, 0.3333, 0.3407)
O (0.3333, 0.6667, 0.9955)

=====

First-principles (PBE) data for a geometry-optimized TlCo2Bi2 structure, as listed in the Alexandria database.

Properties
The calculated total energy comes out at -4.649 eV per atom. As for the space-group type: I4/mmm, No. 139. The density of states at the Fermi level comes out at 5.80 states/eV/cell. The value obtained for the energy of formation from the pure elements is 0.22 eV per atom. The value obtained for the energy above the most stable polymorph in this dataset is 0.000 eV per formula unit. The calculation puts the magnetic moment at 3.2 μB per cell.

Cell lengths 3.4466, 3.4466, 10.3553 Å; angles 80.42, 80.42, 90.00 degrees
Each line ends with the local moment (μB).
Atoms (fractional coordinates):
Bi (0.6413, 0.6413, 0.7174)  -0.01
Co (0.2500, 0.7500, 0.5000)  1.59
Bi (0.3587, 0.3587, 0.2826)  -0.01
Co (0.7500, 0.2500, 0.5000)  1.59
Tl (0.0000, 0.0000, 0.0000)  0.00

=====

First-principles (PBE) data for a geometry-optimized H2SeBr structure, as listed in the Alexandria database.

Properties
The calculated total energy comes out at -2.737 eV per atom. As for the space-group type: I4_1/amd, No. 141. The density of states at the Fermi level comes out at 6.15 states/eV/cell. The value obtained for the energy above the most stable polymorph in this dataset is 1.388 eV per formula unit. The calculation puts the magnetic moment at 0.0 μB per cell.

Cell lengths 5.4776, 5.4776, 5.7861 Å; angles 61.75, 61.75, 90.00 degrees
Atoms (fractional coordinates):
Br (0.7500, 0.2500, 0.5000)
H (0.3748, 0.1250, 0.2500)
H (0.3750, 0.6252, 0.7500)
Se (0.5000, 0.5000, 0.0000)
Br (0.0000, 0.0000, 0.0000)
H (0.8750, 0.6248, 0.7500)
Se (0.2500, 0.7500, 0.5000)
H (0.3752, 0.6250, 0.2500)

=====

First-principles (PBE) data for a geometry-optimized CeUP2Ir2 structure, as listed in the Alexandria database.

Properties
The calculated total energy comes out at -8.688 eV per atom. As for the space-group type: P-3m1, No. 164. The density of states at the Fermi level comes out at 7.10 states/eV/cell. The value obtained for the energy of formation from the pure elements is -1.06 eV per atom. The calculation puts the magnetic moment at 1.9 μB per cell.

Cell lengths 4.0859, 4.0859, 7.8115 Å; angles 90.00, 90.00, 120.00 degrees
Each line ends with the local moment (μB).
Atoms (fractional coordinates):
P (0.6667, 0.3333, 0.7656)  -0.02
Ir (0.3333, 0.6667, 0.7169)  -0.08
P (0.3333, 0.6667, 0.2344)  -0.02
Ir (0.6667, 0.3333, 0.2831)  -0.08
Ce (0.0000, 0.0000, 0.0000)  0.40
U (0.0000, 0.0000, 0.5000)  1.41

=====

First-principles (PBE) data for a geometry-optimized HfNbRh6 structure, as listed in the Alexandria database.

Properties
The calculated total energy comes out at -8.621 eV per atom. As for the space-group type: P-6m2, No. 187. The density of states at the Fermi level comes out at 9.47 states/eV/cell. The value obtained for the energy of formation from the pure elements is -0.60 eV per atom. The calculation puts the magnetic moment at 0.0 μB per cell.

Cell lengths 4.4729, 5.5967, 5.5967 Å; angles 120.00, 90.00, 90.00 degrees
Atoms (fractional coordinates):
Rh (0.5000, 0.4236, 0.0869)
Rh (0.0000, 0.5847, 0.4153)
Hf (0.0000, 0.0833, 0.9167)
Rh (0.5000, 0.9131, 0.5764)
Nb (0.5000, 0.4166, 0.5834)
Rh (0.0000, 0.0804, 0.4153)
Rh (0.5000, 0.9132, 0.0868)
Rh (0.0000, 0.5847, 0.9196)

=====

First-principles (PBE) data for a geometry-optimized Mn2SiP structure, as listed in the Alexandria database.

Properties
The calculated total energy comes out at -7.320 eV per atom. As for the space-group type: P4mm, No. 99. The raw formation energy is -0.0270 eV/atom. The density of states at the Fermi level comes out at 2.34 states/eV/cell. The calculation puts the magnetic moment at 0.0 μB per cell.

Cell lengths 2.6296, 2.6296, 7.1184 Å; angles 90.00, 90.00, 90.00 degrees
Atoms (fractional coordinates):
Mn (0.5000, 0.5000, 0.2383)
Si (0.5000, 0.5000, 0.7952)
Mn (0.0000, 0.0000, 0.0230)
P (0.0000, 0.0000, 0.4434)